A relaxed structure of Ce15Al4Cd, computed with PBE.

## Properties
SG: P4/mmm (123)
Size of the total moment in μB/atom: 0.634
Formation energy in eV per atom: -0.1273

```
Ce15Al4Cd
1.0
4.6988 0.0000 0.0000
0.0000 4.6988 0.0000
0.0000 0.0000 23.4831
Ce Al Cd
15 4 1
direct
0.0000 0.0000 0.0000
0.0000 0.0000 0.2025
0.0000 0.0000 0.4016
0.0000 0.0000 0.5984
0.0000 0.0000 0.7975
0.0000 0.5000 0.1053
0.0000 0.5000 0.3019
0.0000 0.5000 0.5000
0.0000 0.5000 0.6981
0.0000 0.5000 0.8947
0.5000 0.0000 0.1053
0.5000 0.0000 0.3019
0.5000 0.0000 0.5000
0.5000 0.0000 0.6981
0.5000 0.0000 0.8947
0.5000 0.5000 0.2025
0.5000 0.5000 0.4008
0.5000 0.5000 0.5992
0.5000 0.5000 0.7975
0.5000 0.5000 0.0000
```